[1]
Density functional theory data (PBE) for a relaxed structure of MgCd5.

Unit cell a=3.1770 b=3.1770 c=13.2322 alpha=90.00 beta=90.00 gamma=90.00
Sites, in units of the cell vectors:
Mg  0.0000  0.0000  0.0000
Cd  0.0000  0.0000  0.3312
Cd  0.0000  0.0000  0.6688
Cd  0.5000  0.5000  0.1610
Cd  0.5000  0.5000  0.5000
Cd  0.5000  0.5000  0.8390

Summary:
Total magnetization ... 0.0 μB/f.u.
Total DFT energy (no corrections) ... -6.30 eV for the cell shown
Formation enthalpy at 0 K ... -0.02 eV per atom

***

[2]
Density functional theory data (PBE) for a relaxed structure of Mg2Cd.

Unit cell a=13.2629 b=13.2629 c=13.2629 alpha=160.35 beta=160.35 gamma=27.93
Sites, in units of the cell vectors:
Mg  0.0409  0.7909  0.2500
Mg  0.1244  0.3744  0.7500
Mg  0.2091  0.9591  0.2500
Mg  0.3744  0.1244  0.2500
Mg  0.6256  0.8756  0.7500
Mg  0.7909  0.0409  0.7500
Mg  0.8756  0.6256  0.2500
Mg  0.9591  0.2091  0.7500
Cd  0.2929  0.5429  0.7500
Cd  0.4571  0.7071  0.7500
Cd  0.5429  0.2929  0.2500
Cd  0.7071  0.4571  0.2500

Summary:
Total magnetization ... 0.0 μB/f.u.
Total DFT energy (no corrections) ... -17.22 eV for the cell shown
Formation enthalpy at 0 K ... -0.07 eV per atom

***

[3]
Density functional theory data (PBE) for a relaxed structure of Mg3Cd5.

Unit cell a=6.3309 b=6.3309 c=4.3733 alpha=90.00 beta=90.00 gamma=90.48
Sites, in units of the cell vectors:
Mg  0.0000  0.0000  0.0000
Mg  0.2580  0.7420  0.5000
Mg  0.7420  0.2580  0.5000
Cd  0.0000  0.5000  0.0000
Cd  0.2411  0.2411  0.5000
Cd  0.5000  0.0000  0.0000
Cd  0.5000  0.5000  0.0000
Cd  0.7589  0.7589  0.5000

Summary:
Total magnetization ... 0.0 μB/f.u.
Total DFT energy (no corrections) ... -10.01 eV for the cell shown
Relative energy among the computed polymorphs ... 0.0 meV per atom
Formation enthalpy at 0 K ... -0.08 eV per atom

***

[4]
Density functional theory data (PBE) for a relaxed structure of Mg5Cd.

Unit cell a=5.8470 b=5.8470 c=5.8470 alpha=60.00 beta=60.00 gamma=60.00
Sites, in units of the cell vectors:
Mg  0.0000  0.0000  0.0000
Mg  0.3749  0.3749  0.3749
Mg  0.3749  0.3749  0.8753
Mg  0.3749  0.8753  0.3749
Mg  0.8753  0.3749  0.3749
Cd  0.7500  0.7500  0.7500

Summary:
Total magnetization ... 0.0 μB/f.u.
Total DFT energy (no corrections) ... -8.45 eV for the cell shown
Formation enthalpy at 0 K ... 0.07 eV per atom

***

[5]
Density functional theory data (PBE) for a relaxed structure of Mg2Cd.

Unit cell a=5.8122 b=5.8122 c=9.5825 alpha=90.00 beta=90.00 gamma=120.00
Sites, in units of the cell vectors:
Mg  0.0000  0.0000  0.0000
Mg  0.0000  0.0000  0.5000
Mg  0.1698  0.3396  0.2500
Mg  0.1698  0.8302  0.2500
Mg  0.3396  0.1698  0.7500
Mg  0.6604  0.8302  0.2500
Mg  0.8302  0.1698  0.7500
Mg  0.8302  0.6604  0.7500
Cd  0.3333  0.6667  0.5642
Cd  0.3333  0.6667  0.9358
Cd  0.6667  0.3333  0.0642
Cd  0.6667  0.3333  0.4358

Summary:
Total magnetization ... 0.0 μB/f.u.
Total DFT energy (no corrections) ... -15.37 eV for the cell shown
Formation enthalpy at 0 K ... 0.09 eV per atom

***

[6]
Density functional theory data (PBE) for a relaxed structure of MgCd.

Unit cell a=3.1687 b=3.1687 c=15.5463 alpha=90.00 beta=90.00 gamma=120.00
Sites, in units of the cell vectors:
Mg  0.0000  0.0000  0.0000
Mg  0.6667  0.3333  0.1687
Mg  0.6667  0.3333  0.8313
Cd  0.0000  0.0000  0.3310
Cd  0.0000  0.0000  0.6690
Cd  0.6667  0.3333  0.5000

Summary:
Total magnetization ... 0.0 μB/f.u.
Total DFT energy (no corrections) ... -7.64 eV for the cell shown
Formation enthalpy at 0 K ... -0.02 eV per atom

***

[7]
Density functional theory data (PBE) for a relaxed structure of Mg2Cd.

Unit cell a=4.7755 b=4.7755 c=4.7755 alpha=60.00 beta=60.00 gamma=60.00
Sites, in units of the cell vectors:
Mg  0.2500  0.2500  0.2500
Mg  0.7500  0.7500  0.7500
Cd  0.0000  0.0000  0.0000

Summary:
Total magnetization ... 0.0 μB/f.u.
Total DFT energy (no corrections) ... -3.96 eV for the cell shown
Formation enthalpy at 0 K ... 0.05 eV per atom

***

[8]
Density functional theory data (PBE) for a relaxed structure of MgCd3.

Unit cell a=6.1789 b=6.1789 c=5.2969 alpha=90.00 beta=90.00 gamma=120.00
Sites, in units of the cell vectors:
Mg  0.3333  0.6667  0.2500
Mg  0.6667  0.3333  0.7500
Cd  0.1671  0.3343  0.7500
Cd  0.1671  0.8329  0.7500
Cd  0.3343  0.1671  0.2500
Cd  0.6657  0.8329  0.7500
Cd  0.8329  0.1671  0.2500
Cd  0.8329  0.6657  0.2500

Summary:
Total magnetization ... 0.0 μB/f.u.
Total DFT energy (no corrections) ... -9.25 eV for the cell shown
Relative energy among the computed polymorphs ... 0.0 meV per atom
Formation enthalpy at 0 K ... -0.07 eV per atom

***

| no. | density (g cm⁻³) |
| --- | --- |
| 1 | 7.3 |
| 2 | 4.1 |
| 3 | 6.0 |
| 4 | 2.7 |
| 5 | 3.8 |
| 6 | 5.0 |
| 7 | 3.5 |
| 8 | 6.9 |